Record 1
The following is a PBE calculation of SrMnTl2 after structural relaxation, from Alexandria via LeMat-Bulk.

Cell: 4.787 4.787 6.635 Å, 111.07 111.07 59.94°
Fractional coordinates of all 4 atoms:
Sr  0.000  0.000  0.000
Mn  0.191  0.191  0.572
Tl  0.554  0.554  0.661
Tl  0.788  0.788  0.363

Results
ΔE_f ... 79 meV/atom

=====

Record 2
The following is a PBE calculation of MgZnPH after structural relaxation, from Alexandria via LeMat-Bulk.

Cell: 5.020 3.995 3.995 Å, 60.99 90.00 90.00°
Fractional coordinates of all 4 atoms:
Mg  0.000  0.000  0.000
Zn  0.500  0.693  0.693
P  0.500  0.031  0.031
H  0.000  0.693  0.693

Results
Total DFT energy (no corrections) ... -12.3 eV for the cell shown

=====

Record 3
The following is a PBE calculation of BiPS2N after structural relaxation, from Alexandria via LeMat-Bulk.

Cell: 4.276 4.276 5.805 Å, 90.00 90.00 90.00°
Fractional coordinates of all 5 atoms:
Bi  0.000  0.000  0.000
P  0.000  0.000  0.500
S  0.000  0.500  0.500
S  0.500  0.000  0.500
N  0.500  0.500  0.000

Results
Offset from the most stable computed form ... 906 meV per atom
Uncorrected formation energy ... 1.286 eV/atom

=====

Record 4
The following is a PBE calculation of NaLaCl2O after structural relaxation, from Alexandria via LeMat-Bulk.

Cell: 4.050 4.050 13.479 Å, 90.00 90.00 90.00°
Fractional coordinates of all 10 atoms:
Na  0.250  0.250  0.098
Na  0.750  0.750  0.902
La  0.250  0.250  0.592
La  0.750  0.750  0.408
Cl  0.250  0.250  0.305
Cl  0.250  0.250  0.890
Cl  0.750  0.750  0.110
Cl  0.750  0.750  0.695
O  0.250  0.750  0.500
O  0.750  0.250  0.500

Results
Uncorrected formation energy ... -2.602 eV/atom